No. 1
Li2BiIr: optimized geometry, PBE.

Properties
Space-group type   No. 122
DOS(E_F)   3.41 states/eV/cell
Theoretical density   9027 kg/m³
DFT formation energy   0.073 eV per atom

The structure in POSCAR format:
```
Li2BiIr
1.0
-1.993 1.993 9.609
1.993 -1.993 9.609
1.993 1.993 -9.609
Li Bi Ir
4 2 2
Direct
0.089 0.625 0.964
0.375 0.339 0.464
0.661 0.125 0.036
0.875 0.911 0.536
0.250 0.750 0.500
0.500 0.500 0.000
0.000 0.000 0.000
0.750 0.250 0.500
```


No. 2
Sr2CaBe: optimized geometry, PBE.

Properties
Space-group type   No. 216
DOS(E_F)   2.92 states/eV/cell
Theoretical density   2698 kg/m³
DFT formation energy   0.489 eV per atom

The structure in POSCAR format:
```
Sr2CaBe
1.0
0.000 4.102 4.102
4.102 0.000 4.102
4.102 4.102 0.000
Sr Ca Be
2 1 1
Direct
0.000 0.000 0.000
0.250 0.250 0.250
0.750 0.750 0.750
0.500 0.500 0.500
```


No. 3
KTaW2: optimized geometry, PBE.

Properties
Space-group type   No. 65
DOS(E_F)   3.23 states/eV/cell
Theoretical density   12266 kg/m³
Excess energy over the best structure of this formula in the dataset   37 meV per atom
DFT formation energy   0.760 eV per atom

The structure in POSCAR format:
```
KTaW2
1.0
1.585 -2.317 0.000
1.585 2.317 0.000
0.000 0.000 10.831
K Ta W
1 1 2
Direct
0.000 0.000 0.000
0.000 0.000 0.500
0.500 0.500 0.289
0.500 0.500 0.711
```